# As2WSeN, relaxed, DFT PBE
# Formation energy without anion corrections ... 1.098 eV/atom
# E above lowest polymorph ... 0.0 meV per atom
# VASP energy ... -0.420 Ry per atom
data_As2WSeN
_space_group_name_H-M_alt 'P 4/m m m'
_space_group_IT_number 123
_space_group_name_Hall '-P 4 2'
_cell_length_a 4.207
_cell_length_b 4.207
_cell_length_c 4.387
_cell_angle_alpha 90.00
_cell_angle_beta 90.00
_cell_angle_gamma 90.00
loop_
_atom_site_label
_atom_site_type_symbol
_atom_site_fract_x
_atom_site_fract_y
_atom_site_fract_z
As1 As 0.000 0.500 0.000
W1 W 0.000 0.000 0.500
Se1 Se 0.500 0.500 0.500
N1 N 0.500 0.500 0.000

---

# YMgP, relaxed, DFT PBE
# Calculated formation energy ... -0.581 eV/atom
# E above lowest polymorph ... 325.5 meV per atom
# VASP energy ... -0.373 Ry per atom
data_YMgP
_space_group_name_H-M_alt 'F m m 2'
_space_group_IT_number 42
_space_group_name_Hall 'F 2 -2'
_cell_length_a 4.264
_cell_length_b 5.541
_cell_length_c 11.751
_cell_angle_alpha 90.00
_cell_angle_beta 90.00
_cell_angle_gamma 90.00
loop_
_atom_site_label
_atom_site_type_symbol
_atom_site_fract_x
_atom_site_fract_y
_atom_site_fract_z
Y1 Y 0.000 0.000 0.000
Mg1 Mg 0.000 0.000 0.725
P1 P 0.000 0.000 0.361

---

- Among the records above, which one has the lowest E above lowest polymorph?
  As2WSeN

---

Please write out number 1 again, unchanged.
# As2WSeN, relaxed, DFT PBE
# Formation energy without anion corrections ... 1.098 eV/atom
# E above lowest polymorph ... 0.0 meV per atom
# VASP energy ... -0.420 Ry per atom
data_As2WSeN
_space_group_name_H-M_alt 'P 4/m m m'
_space_group_IT_number 123
_space_group_name_Hall '-P 4 2'
_cell_length_a 4.207
_cell_length_b 4.207
_cell_length_c 4.387
_cell_angle_alpha 90.00
_cell_angle_beta 90.00
_cell_angle_gamma 90.00
loop_
_atom_site_label
_atom_site_type_symbol
_atom_site_fract_x
_atom_site_fract_y
_atom_site_fract_z
As1 As 0.000 0.500 0.000
W1 W 0.000 0.000 0.500
Se1 Se 0.500 0.500 0.500
N1 N 0.500 0.500 0.000